(1)
Material: PuCu2AuO8
Method: DFT, PBE
State: optimized geometry

Results
Total energy, eV/cell: -74.1
Symmetry: I-4m2
Raw formation energy, meV per atom: -719
Crystal system: tetragonal

Unit cell a=5.8384 b=5.8384 c=5.8384 alpha=112.02 beta=112.02 gamma=104.49
Last column: nearest neighbours and their distance in Å.
Element x y z (fractional)
1 Pu 0.2500 0.7500 0.5000  4 O 1.95
2 Cu 0.7500 0.2500 0.5000  4 O 1.95
3 Cu 0.5000 0.5000 0.0000  4 O 1.89
4 Au 0.0000 0.0000 0.0000  4 O 2.05
5 O 0.3495 0.0387 0.3108  1 Cu 1.95, 1 Au 2.05
6 O 0.3215 0.5340 0.2125  1 Cu 1.89, 1 Pu 1.95
7 O 0.3215 0.1090 0.7875  1 Cu 1.89, 1 Pu 1.95
8 O 0.7278 0.0387 0.6892  1 Cu 1.95, 1 Au 2.05
9 O 0.8910 0.6785 0.2125  1 Cu 1.89, 1 Pu 1.95
10 O 0.9613 0.2722 0.3108  1 Cu 1.95, 1 Au 2.05
11 O 0.9613 0.6505 0.6892  1 Cu 1.95, 1 Au 2.05
12 O 0.4660 0.6785 0.7875  1 Cu 1.89, 1 Pu 1.95

=====

(2)
Material: NiIrOs4
Method: DFT, PBE
State: optimized geometry

Results
E_form, meV/atom: 926
Total energy, eV/cell: -54.0
Symmetry: F-43m
Crystal system: cubic

Unit cell a=5.0853 b=5.0853 c=5.0853 alpha=60.00 beta=60.00 gamma=60.00
Last column: nearest neighbours and their distance in Å.
Element x y z (fractional)
1 Ni 0.0000 0.0000 0.0000  12 Os 2.98, 4 Ir 3.11
2 Ir 0.7500 0.7500 0.7500  12 Os 2.98, 4 Ni 3.11
3 Os 0.8749 0.3750 0.3750  6 Os 2.54
4 Os 0.3750 0.3750 0.8749  6 Os 2.54
5 Os 0.3750 0.8749 0.3750  6 Os 2.54
6 Os 0.3750 0.3750 0.3750  6 Os 2.54